1.
Material: ScAg2As
Method: DFT, GGA-PBEsol
State: optimized geometry

The structure in extended XYZ format:
```
4
Lattice="3.740 0.000 0.000 0.000 1.831 5.419 0.000 -1.831 5.419" Properties=species:S:1:pos:R:3 pbc="T T T"
Sc 0.000 0.000 0.000
Ag 0.000 0.000 2.905
Ag 1.870 0.000 7.436
As 1.870 0.000 4.800
```

The total magnetic moment is 0.000 μB/cell. As for the crystal system: orthorhombic. For the total energy, the calculation gives -20.13 eV per cell. Its calculated formation energy is -1.8 eV/f.u.


2.
Material: LaReHg2
Method: DFT, GGA-PBEsol
State: optimized geometry

The structure in extended XYZ format:
```
4
Lattice="2.944 -4.209 0.000 2.944 4.209 0.000 0.000 0.000 3.410" Properties=species:S:1:pos:R:3 pbc="T T T"
La 0.000 0.000 0.000
Re 2.944 0.000 0.000
Hg 1.472 2.105 1.705
Hg 1.472 -2.105 1.705
```

The total magnetic moment is 0.000 μB/cell. As for the crystal system: orthorhombic. For the total energy, the calculation gives -17.81 eV per cell. The offset from the most stable computed form comes out at 0.76 eV per formula unit. Its calculated formation energy is 2.0 eV/f.u.


3.
Material: Li2CdPb
Method: DFT, GGA-PBEsol
State: optimized geometry

The structure in extended XYZ format:
```
4
Lattice="-2.448 2.448 3.378 2.448 -2.448 3.378 2.448 2.448 -3.378" Properties=species:S:1:pos:R:3 pbc="T T T"
Li 0.000 0.000 0.000
Li 0.000 2.448 1.689
Cd 2.448 0.000 1.689
Pb 0.000 0.000 3.378
```

The total magnetic moment is 0.000 μB/cell. As for the crystal system: tetragonal. For the total energy, the calculation gives -10.21 eV per cell. The offset from the most stable computed form comes out at 0.07 eV per formula unit. Its calculated formation energy is -1.1 eV/f.u.


4.
Material: NbFeB2
Method: DFT, GGA-PBEsol
State: optimized geometry

The structure in extended XYZ format:
```
8
Lattice="-1.779 1.779 6.854 1.779 -1.779 6.854 1.779 1.779 -6.854" Properties=species:S:1:pos:R:3 pbc="T T T"
Nb 1.779 0.889 1.714
Nb 0.000 0.889 5.141
Fe 1.779 -0.889 5.141
Fe 0.000 2.668 1.714
B 0.000 0.000 0.000
B 0.889 0.889 -3.427
B 0.889 -0.889 3.427
B 0.000 1.779 0.000
```

The total magnetic moment is 0.001 μB/cell. As for the crystal system: tetragonal. For the total energy, the calculation gives -67.00 eV per cell. Its calculated formation energy is 0.3 eV/f.u.


5.
Material: Ca2TaTl
Method: DFT, GGA-PBEsol
State: optimized geometry

The structure in extended XYZ format:
```
4
Lattice="-1.715 2.628 5.377 1.715 -2.628 5.377 1.715 2.628 -5.377" Properties=species:S:1:pos:R:3 pbc="T T T"
Ca 0.000 0.000 2.647
Ca 0.000 0.000 8.106
Ta 0.000 2.628 0.000
Tl 1.715 0.000 0.000
```

The total magnetic moment is 0.000 μB/cell. As for the crystal system: orthorhombic. For the total energy, the calculation gives -17.39 eV per cell. The offset from the most stable computed form comes out at 0.39 eV per formula unit. Its calculated formation energy is 2.1 eV/f.u.


6.
Material: Cu2TeI
Method: DFT, GGA-PBEsol
State: optimized geometry

The structure in extended XYZ format:
```
8
Lattice="-2.942 2.942 5.827 2.942 -2.942 5.827 2.942 2.942 -5.827" Properties=species:S:1:pos:R:3 pbc="T T T"
Cu 4.412 1.392 -1.457
Cu 1.392 1.471 1.457
Cu -1.471 1.550 4.370
Cu 1.550 1.471 7.283
Te 0.000 0.000 0.000
Te 0.000 2.942 2.913
I 2.942 0.000 2.913
I 0.000 0.000 5.827
```

The total magnetic moment is 0.001 μB/cell. As for the crystal system: tetragonal. For the total energy, the calculation gives -28.15 eV per cell.


7.
Material: Mn2IrOs
Method: DFT, GGA-PBEsol
State: optimized geometry

The structure in extended XYZ format:
```
4
Lattice="3.931 0.000 0.000 0.000 1.315 4.730 0.000 -1.315 4.730" Properties=species:S:1:pos:R:3 pbc="T T T"
Mn 0.000 0.000 0.000
Mn 1.966 0.000 1.129
Ir 0.000 0.000 6.915
Os 1.966 0.000 3.691
```

The total magnetic moment is 0.001 μB/cell. As for the crystal system: orthorhombic. For the total energy, the calculation gives -41.82 eV per cell. The offset from the most stable computed form comes out at 0.00 eV per formula unit. Its calculated formation energy is -0.3 eV/f.u.


8.
Material: LiZrMn2Ge
Method: DFT, GGA-PBEsol
State: optimized geometry

The structure in extended XYZ format:
```
5
Lattice="4.467 0.000 0.000 0.000 4.467 0.000 0.000 0.000 4.223" Properties=species:S:1:pos:R:3 pbc="T T T"
Li 0.000 0.000 0.000
Zr 2.234 2.234 0.000
Mn 0.000 2.234 2.111
Mn 2.234 0.000 2.111
Ge 0.000 0.000 2.111
```

The total magnetic moment is 4.406 μB/cell. As for the crystal system: tetragonal. For the total energy, the calculation gives -32.95 eV per cell. Its calculated formation energy is 2.6 eV/f.u.


9.
Material: ScCu3
Method: DFT, GGA-PBEsol
State: optimized geometry

The structure in extended XYZ format:
```
8
Lattice="-2.033 2.033 6.642 2.033 -2.033 6.642 2.033 2.033 -6.642" Properties=species:S:1:pos:R:3 pbc="T T T"
Sc 0.000 0.000 1.723
Sc 0.000 0.000 11.561
Cu 2.033 0.000 0.000
Cu 2.033 0.000 3.321
Cu 0.000 0.000 5.013
Cu 0.000 2.033 0.000
Cu 0.000 0.000 8.272
Cu 0.000 2.033 3.321
```

The total magnetic moment is 0.000 μB/cell. As for the crystal system: tetragonal. For the total energy, the calculation gives -40.00 eV per cell. Its calculated formation energy is -0.4 eV/f.u.


10.
Material: K2BaRePt
Method: DFT, GGA-PBEsol
State: optimized geometry

The structure in extended XYZ format:
```
5
Lattice="6.131 0.000 0.000 0.000 6.131 0.000 0.000 0.000 5.116" Properties=species:S:1:pos:R:3 pbc="T T T"
K 0.000 3.066 0.000
K 3.066 0.000 0.000
Ba 0.000 0.000 0.000
Re 0.000 0.000 2.558
Pt 3.066 3.066 2.558
```

The total magnetic moment is 2.267 μB/cell. As for the crystal system: tetragonal. For the total energy, the calculation gives -14.26 eV per cell. Its calculated formation energy is 10.5 eV/f.u.


11.
Material: Zn5Ag3
Method: DFT, GGA-PBEsol
State: optimized geometry

The structure in extended XYZ format:
```
16
Lattice="-4.944 4.944 2.503 4.944 -4.944 2.503 4.944 4.944 -2.503" Properties=species:S:1:pos:R:3 pbc="T T T"
Zn 7.559 0.704 0.000
Zn 0.704 2.329 0.000
Zn 4.944 0.000 1.252
Zn 5.648 2.615 0.000
Zn 2.615 4.240 0.000
Zn 2.329 0.704 2.503
Zn -0.704 2.329 2.503
Zn 0.000 4.944 1.252
Zn 4.240 2.615 2.503
Zn -2.615 4.240 2.503
Ag 3.215 1.729 0.000
Ag 0.000 0.000 1.252
Ag 3.215 -1.729 2.503
Ag 1.729 6.673 0.000
Ag 0.000 0.000 3.755
Ag 1.729 3.215 2.503
```

The total magnetic moment is 0.000 μB/cell. As for the crystal system: tetragonal. For the total energy, the calculation gives -35.47 eV per cell. The offset from the most stable computed form comes out at 0.43 eV per formula unit. Its calculated formation energy is 0.1 eV/f.u.


12.
Material: RhC2
Method: DFT, GGA-PBEsol
State: optimized geometry

The structure in extended XYZ format:
```
6
Lattice="-1.785 1.785 3.969 1.785 -1.785 3.969 1.785 1.785 -3.969" Properties=species:S:1:pos:R:3 pbc="T T T"
Rh 1.785 0.893 0.992
Rh 0.000 0.893 2.977
C 1.785 -0.893 2.214
C 1.785 -0.893 3.739
C 0.000 2.678 0.230
C 0.000 2.678 1.755
```

The total magnetic moment is 0.000 μB/cell. As for the crystal system: tetragonal. For the total energy, the calculation gives -46.06 eV per cell. The offset from the most stable computed form comes out at 3.08 eV per formula unit. Its calculated formation energy is 4.4 eV/f.u.


13.
Material: Li6CuF8
Method: DFT, GGA-PBEsol
State: optimized geometry

The structure in extended XYZ format:
```
15
Lattice="0.000 4.066 4.066 4.066 0.000 4.066 4.066 4.066 0.000" Properties=species:S:1:pos:R:3 pbc="T T T"
Li 2.033 2.033 0.000
Li 2.033 0.000 2.033
Li 4.066 2.033 2.033
Li 0.000 2.033 2.033
Li 2.033 4.066 2.033
Li 2.033 2.033 4.066
Cu 0.000 0.000 0.000
F 4.066 4.066 1.986
F 4.066 1.986 4.066
F 6.147 4.066 4.066
F 2.033 2.033 2.033
F 6.099 6.099 6.099
F 1.986 4.066 4.066
F 4.066 6.147 4.066
F 4.066 4.066 6.147
```

The total magnetic moment is 1.000 μB/cell. As for the crystal system: cubic. For the total energy, the calculation gives -71.21 eV per cell. The offset from the most stable computed form comes out at 0.00 eV per formula unit.


14.
Material: Si2SbW
Method: DFT, GGA-PBEsol
State: optimized geometry

The structure in extended XYZ format:
```
4
Lattice="-2.023 2.023 4.026 2.023 -2.023 4.026 2.023 2.023 -4.026" Properties=species:S:1:pos:R:3 pbc="T T T"
Si 0.000 0.000 0.000
Si 0.000 2.023 2.013
Sb 2.023 0.000 2.013
W 0.000 0.000 4.026
```

The total magnetic moment is 0.012 μB/cell. As for the crystal system: tetragonal. For the total energy, the calculation gives -27.03 eV per cell.


15.
Material: CaInPb2
Method: DFT, GGA-PBEsol
State: optimized geometry

The structure in extended XYZ format:
```
4
Lattice="3.451 -4.453 0.000 3.451 4.453 0.000 0.000 0.000 3.624" Properties=species:S:1:pos:R:3 pbc="T T T"
Ca 0.000 0.000 0.000
In 3.451 0.000 0.000
Pb 1.726 2.226 1.812
Pb 1.726 -2.226 1.812
```

The total magnetic moment is 0.000 μB/cell. As for the crystal system: orthorhombic. For the total energy, the calculation gives -14.28 eV per cell. Its calculated formation energy is -1.2 eV/f.u.


16.
Material: FePbBr2
Method: DFT, GGA-PBEsol
State: optimized geometry

The structure in extended XYZ format:
```
4
Lattice="3.254 0.000 0.000 0.000 3.254 0.000 0.000 0.000 8.670" Properties=species:S:1:pos:R:3 pbc="T T T"
Fe 0.000 0.000 0.000
Pb 0.000 0.000 4.335
Br 1.627 1.627 1.590
Br 1.627 1.627 7.080
```

The total magnetic moment is 3.439 μB/cell. As for the crystal system: tetragonal. For the total energy, the calculation gives -16.30 eV per cell. The offset from the most stable computed form comes out at 0.73 eV per formula unit.


17.
Material: YBPt3
Method: DFT, GGA-PBEsol
State: optimized geometry

The structure in extended XYZ format:
```
5
Lattice="5.024 0.000 0.000 0.000 5.024 0.000 0.000 0.000 5.024" Properties=species:S:1:pos:R:3 pbc="T T T"
Y 0.000 0.000 0.000
B 2.512 2.512 2.512
Pt 0.000 0.000 2.512
Pt 0.000 2.512 0.000
Pt 2.512 0.000 0.000
```

The total magnetic moment is 0.000 μB/cell. As for the crystal system: cubic. For the total energy, the calculation gives -24.54 eV per cell. Its calculated formation energy is 10.2 eV/f.u.


18.
Material: Y2Co3Cu14
Method: DFT, GGA-PBEsol
State: optimized geometry

The structure in extended XYZ format:
```
38
Lattice="8.338 0.000 0.000 -4.169 7.221 0.000 0.000 0.000 8.098" Properties=species:S:1:pos:R:3 pbc="T T T"
Y 0.000 0.000 2.025
Y 0.000 0.000 6.074
Y 0.000 4.814 2.025
Y 4.169 2.407 6.074
Co -2.085 3.611 0.000
Co -2.085 3.611 4.049
Co 4.169 0.000 0.000
Co 4.169 0.000 4.049
Co 2.085 3.611 0.000
Co 2.085 3.611 4.049
Cu -1.214 2.681 6.074
Cu -2.454 4.829 6.074
Cu 0.000 2.403 0.156
Cu 0.000 2.403 3.894
Cu -2.088 6.020 0.156
Cu -2.088 6.020 3.894
Cu 1.214 2.681 6.074
Cu -1.240 6.932 6.074
Cu 2.081 1.202 4.205
Cu 2.081 1.202 7.943
Cu 0.000 4.814 4.868
Cu 0.000 4.814 7.279
Cu 2.929 0.289 2.025
Cu 1.715 2.392 2.025
Cu 2.454 4.829 6.074
Cu 1.240 6.932 6.074
Cu 4.169 2.407 0.819
Cu 4.169 2.407 3.230
Cu 2.088 6.020 0.156
Cu 2.088 6.020 3.894
Cu 5.409 0.289 2.025
Cu 2.955 4.540 2.025
Cu 6.257 1.202 4.205
Cu 6.257 1.202 7.943
Cu 4.169 4.818 4.205
Cu 4.169 4.818 7.943
Cu 6.623 2.392 2.025
Cu 5.383 4.540 2.025
```

The total magnetic moment is 0.088 μB/cell. As for the crystal system: hexagonal. For the total energy, the calculation gives -197.62 eV per cell. Its calculated formation energy is -1.3 eV/f.u.


19.
Material: ZnCoP2Cl
Method: DFT, GGA-PBEsol
State: optimized geometry

The structure in extended XYZ format:
```
5
Lattice="4.483 0.000 0.000 0.000 4.483 0.000 0.000 0.000 4.857" Properties=species:S:1:pos:R:3 pbc="T T T"
Zn 0.000 0.000 0.000
Co 2.242 2.242 2.428
P 0.000 2.242 0.000
P 2.242 0.000 0.000
Cl 0.000 0.000 2.428
```

The total magnetic moment is 2.434 μB/cell. As for the crystal system: tetragonal. For the total energy, the calculation gives -17.24 eV per cell.


20.
Material: Co2CuCl
Method: DFT, GGA-PBEsol
State: optimized geometry

The structure in extended XYZ format:
```
4
Lattice="2.942 0.000 0.000 0.000 2.861 0.000 -0.002 0.000 6.392" Properties=species:S:1:pos:R:3 pbc="T T T"
Co 0.000 0.000 0.000
Co 1.471 1.431 1.158
Cu 1.469 1.431 4.970
Cl 1.464 0.000 3.022
```

The total magnetic moment is 3.591 μB/cell. As for the crystal system: monoclinic. For the total energy, the calculation gives -20.89 eV per cell.


21.
Material: AlH2S
Method: DFT, GGA-PBEsol
State: optimized geometry

The structure in extended XYZ format:
```
4
Lattice="0.000 2.616 2.616 2.616 0.000 2.616 2.616 2.616 0.000" Properties=species:S:1:pos:R:3 pbc="T T T"
Al 0.000 0.000 0.000
H 1.308 1.308 1.308
H 3.925 3.925 3.925
S 2.616 2.616 2.616
```

The total magnetic moment is 0.000 μB/cell. As for the crystal system: cubic. For the total energy, the calculation gives -13.11 eV per cell. The offset from the most stable computed form comes out at 1.64 eV per formula unit.


22.
Material: ZnIN2O
Method: DFT, GGA-PBEsol
State: optimized geometry

The structure in extended XYZ format:
```
5
Lattice="3.932 0.000 0.000 0.000 3.932 0.000 0.000 0.000 3.763" Properties=species:S:1:pos:R:3 pbc="T T T"
Zn 0.000 0.000 0.000
I 1.966 1.966 1.881
N 0.000 1.966 0.000
N 1.966 0.000 0.000
O 0.000 0.000 1.881
```

The total magnetic moment is 0.002 μB/cell. As for the crystal system: tetragonal. For the total energy, the calculation gives -19.08 eV per cell.


23.
Material: MgBiW2C
Method: DFT, GGA-PBEsol
State: optimized geometry

The structure in extended XYZ format:
```
5
Lattice="5.112 0.000 0.000 0.000 5.112 0.000 0.000 0.000 4.423" Properties=species:S:1:pos:R:3 pbc="T T T"
Mg 0.000 0.000 0.000
Bi 2.556 2.556 2.211
W 0.000 2.556 2.211
W 2.556 0.000 2.211
C 2.556 2.556 0.000
```

The total magnetic moment is 1.318 μB/cell. As for the crystal system: tetragonal. For the total energy, the calculation gives -27.27 eV per cell. Its calculated formation energy is 16.0 eV/f.u.


24.
Material: Mg2BePb
Method: DFT, GGA-PBEsol
State: optimized geometry

The structure in extended XYZ format:
```
4
Lattice="3.219 0.000 0.000 0.000 4.050 0.000 0.000 0.000 6.268" Properties=species:S:1:pos:R:3 pbc="T T T"
Mg 0.000 0.000 0.000
Mg 1.610 2.025 1.626
Be 1.610 2.025 5.060
Pb 0.000 0.000 3.407
```

The total magnetic moment is 0.000 μB/cell. As for the crystal system: orthorhombic. For the total energy, the calculation gives -10.20 eV per cell. Its calculated formation energy is 1.2 eV/f.u.


25.
Material: MnCo2P
Method: DFT, GGA-PBEsol
State: optimized geometry

The structure in extended XYZ format:
```
4
Lattice="1.281 0.739 7.381 -1.281 0.739 7.381 0.000 -1.479 7.381" Properties=species:S:1:pos:R:3 pbc="T T T"
Mn 0.000 0.000 0.000
Co 0.000 0.000 5.458
Co 0.000 0.000 10.829
P 0.000 0.000 16.523
```

The total magnetic moment is 2.650 μB/cell. As for the crystal system: trigonal. For the total energy, the calculation gives -31.26 eV per cell. Its calculated formation energy is -0.2 eV/f.u.


26.
Material: BaMn3Sb
Method: DFT, GGA-PBEsol
State: optimized geometry

The structure in extended XYZ format:
```
5
Lattice="5.031 0.000 0.000 0.000 5.031 0.000 0.000 0.000 5.031" Properties=species:S:1:pos:R:3 pbc="T T T"
Ba 0.000 0.000 0.000
Mn 0.000 0.000 2.515
Mn 0.000 2.515 0.000
Mn 2.515 0.000 0.000
Sb 2.515 2.515 2.515
```

The total magnetic moment is 11.046 μB/cell. As for the crystal system: cubic. For the total energy, the calculation gives -25.75 eV per cell. The offset from the most stable computed form comes out at 6.04 eV per formula unit.